Entry 1:
Hg11BiPb17 (PBE, optimized geometry); VASP energy = -2.386 eV per atom; crystal system = monoclinic
1.0
9.6769 0.0370 -3.4069
-4.7412 8.4360 -3.4069
0.0551 0.0946 10.2703
Hg Pb Bi
11 17 1
Direct
0.0067 0.6392 0.8221
0.3658 0.1722 0.3662
0.8030 0.9923 0.6167
0.1913 0.8125 0.1963
0.8173 0.6305 0.0082
0.1722 0.3658 0.3662
0.1755 0.1755 0.7954
0.9923 0.8030 0.6167
0.6392 0.0067 0.8221
0.8125 0.1913 0.1963
0.6305 0.8173 0.0082
0.4188 0.7181 0.4183
0.6012 0.3158 0.0039
0.9932 0.3158 0.6026
0.0055 0.0055 0.0002
0.9945 0.3320 0.9748
0.3158 0.6012 0.0039
0.6971 0.6971 0.2798
0.0124 0.0124 0.3450
0.3158 0.9932 0.6026
0.3904 0.3904 0.7025
0.6813 0.2900 0.6885
0.2900 0.6813 0.6885
0.3320 0.9945 0.9748
0.6676 0.6676 0.6852
0.7181 0.4188 0.4183
0.5866 0.0064 0.3118
0.0064 0.5866 0.3118
0.3670 0.3670 0.1732

=====

Entry 2:
HgBi6Pb12 (PBE, optimized geometry); distance to the lowest polymorph of the same formula = 0.028 eV per atom; VASP energy = -3.493 eV per atom; crystal system = trigonal
1.0
-6.4788 1.6353 6.4821
2.2693 -9.0135 0.5239
7.5589 4.9261 2.2942
Pb Bi Hg
12 6 1
Direct
0.8840 0.1160 0.5000
0.1140 0.3462 0.3462
0.5000 0.1160 0.8840
0.5000 0.8840 0.1160
0.8840 0.5000 0.1160
0.1160 0.8840 0.5000
0.6538 0.8860 0.6538
0.1160 0.5000 0.8840
0.3462 0.1140 0.3462
0.3462 0.3462 0.1140
0.8860 0.6538 0.6538
0.6538 0.6538 0.8860
0.3022 0.3022 0.7111
0.6978 0.2889 0.6978
0.6978 0.6978 0.2889
0.3022 0.7111 0.3022
0.7111 0.3022 0.3022
0.2889 0.6978 0.6978
0.0000 0.0000 0.0000

=====

Entry 3:
Hg2Bi5Pb4 (PBE, optimized geometry); VASP energy = -3.124 eV per atom; crystal system = monoclinic
1.0
-0.3244 0.6762 -3.3672
-3.7662 -9.1529 -1.4753
-8.8240 4.7983 1.8136
Bi Pb Hg
5 4 2
Direct
0.0000 0.5919 0.6994
0.0000 0.8108 0.1504
0.0000 0.4081 0.3006
0.0000 0.5000 0.0000
0.0000 0.1892 0.8496
0.5000 0.3036 0.5875
0.5000 0.6964 0.4125
0.5000 0.1405 0.1296
0.5000 0.8595 0.8704
0.0000 0.0693 0.3848
0.0000 0.9307 0.6152

=====

Entry 4:
Hg5BiPb2 (PBE, optimized geometry); VASP energy = -1.568 eV per atom; crystal system = triclinic
1.0
2.9478 -3.1880 -4.3356
5.4877 -7.7093 -0.1600
-8.9037 1.7904 1.5617
Hg Pb Bi
5 2 1
Direct
0.7777 0.2778 0.0000
0.2780 0.7778 0.0000
0.7777 0.7777 0.4999
0.2777 0.2779 0.0001
0.2786 0.2777 0.5000
0.7782 0.2782 0.5002
0.2772 0.7781 0.4999
0.7779 0.7777 0.9998

=====

Entry 5:
HgBi2Pb (PBE, optimized geometry); distance to the lowest polymorph of the same formula = 0.025 eV per atom; VASP energy = -2.864 eV per atom; crystal system = tetragonal
1.0
-1.2186 4.3349 -1.1875
-4.7006 -0.8286 1.7991
1.4634 1.6694 4.5925
Bi Pb Hg
2 1 1
Direct
0.0000 0.0000 0.5000
0.0000 0.5000 0.0000
0.5000 0.0000 0.0000
0.5000 0.5000 0.5000

=====

Entry 6:
Hg3BiPb (PBE, optimized geometry); distance to the lowest polymorph of the same formula = 0.000 eV per atom; VASP energy = -1.677 eV per atom; crystal system = triclinic
1.0
-5.1915 2.0679 2.9018
-3.1024 -2.0025 -4.1593
-7.6869 -6.2635 5.0147
Hg Pb Bi
6 2 2
Direct
0.2031 0.6025 0.7983
0.2469 0.1933 0.6145
0.5000 0.0000 0.0000
0.0000 0.0000 0.0000
0.7531 0.8067 0.3855
0.7969 0.3975 0.2017
0.7635 0.2033 0.5951
0.2365 0.7967 0.4049
0.7162 0.6091 0.7852
0.2838 0.3909 0.2148

=====

Entry 7:
Hg6BiPb5 (PBE, optimized geometry); VASP energy = -1.990 eV per atom; crystal system = monoclinic
1.0
1.2073 -0.2547 -5.6217
-0.6693 -7.6326 3.3702
-8.2386 0.5538 1.3738
Hg Bi Pb
6 1 5
Direct
0.7436 0.2498 0.2498
0.2474 0.4173 0.0832
0.2564 0.7502 0.7502
0.7526 0.9168 0.5827
0.7526 0.5827 0.9168
0.2474 0.0832 0.4173
0.0000 0.0000 0.0000
0.0000 0.6646 0.3355
0.0000 0.3354 0.6646
0.5000 0.1652 0.8348
0.5000 0.5000 0.5000
0.5000 0.8348 0.1652

=====

Entry 8:
Hg12Bi6Pb (PBE, optimized geometry); VASP energy = -1.533 eV per atom; crystal system = trigonal
1.0
-3.3772 3.5970 -6.7633
2.8950 -6.0408 -5.0214
-7.0500 -4.4446 0.7933
Bi Hg Pb
6 12 1
Direct
0.8097 0.8070 0.3052
0.8070 0.3052 0.8097
0.1903 0.1930 0.6948
0.6948 0.1903 0.1930
0.1930 0.6948 0.1903
0.3052 0.8097 0.8070
0.4603 0.4585 0.8178
0.1822 0.5397 0.5415
0.9513 0.8439 0.6358
0.4585 0.8178 0.4603
0.5415 0.1822 0.5397
0.3642 0.0487 0.1561
0.8178 0.4603 0.4585
0.8439 0.6358 0.9513
0.5397 0.5415 0.1822
0.0487 0.1561 0.3642
0.6358 0.9513 0.8439
0.1561 0.3642 0.0487
0.0000 0.0000 0.0000

=====

| no. | ΔH_f (0 K) (eV per atom) |
| --- | --- |
| 1 | 0.037 |
| 2 | 0.091 |
| 3 | 0.043 |
| 4 | 0.033 |
| 5 | 0.079 |
| 6 | 0.022 |
| 7 | 0.030 |
| 8 | 0.078 |